This record from Alexandria describes a relaxed structure of Nd2SmHfN4. The functional is GGA-PBE.

The calculation puts the raw formation energy at -1.496 eV per atom.

The structure belongs to space group P2/m (No. 10); the cell edges are 6.076, 3.488 and 6.103 Å and the angles 90.00°, 109.02° and 90.00°. The asymmetric unit holds Nd at (0.000, 0.000, 0.000), Nd at (0.500, 0.500, 0.000), Sm at (0.000, 0.500, 0.500), Hf at (0.500, 0.000, 0.500), N at (0.265, 0.000, 0.729) and N at (0.276, 0.500, 0.279).

=====

This record from Alexandria describes a relaxed structure of TbNd2HfN4. The functional is GGA-PBE.

The calculation puts the raw formation energy at -1.553 eV per atom.

The structure belongs to space group P2/m (No. 10); the cell edges are 6.019, 3.463 and 6.081 Å and the angles 90.00°, 109.00° and 90.00°. The asymmetric unit holds Tb at (0.000, 0.000, 0.000), Nd at (0.000, 0.500, 0.500), Nd at (0.500, 0.000, 0.500), Hf at (0.500, 0.500, 0.000), N at (0.259, 0.500, 0.226) and N at (0.274, 0.000, 0.781).

=====

This record from Alexandria describes a relaxed structure of TbNdHfN3. The functional is GGA-PBE.

The calculation puts the raw formation energy at -1.368 eV per atom.

The structure belongs to space group P2_1/m (No. 11); the cell edges are 6.448, 3.305 and 9.612 Å and the angles 90.00°, 93.71° and 90.00°. The asymmetric unit holds Tb at (0.209, 0.250, 0.074), Nd at (0.160, 0.250, 0.712), Hf at (0.350, 0.750, 0.395), N at (0.145, 0.250, 0.339), N at (0.153, 0.750, 0.917) and N at (0.402, 0.750, 0.609).

=====

This record from Alexandria describes a relaxed structure of Tb2NdHfN4. The functional is GGA-PBE.

The calculation puts the raw formation energy at -1.601 eV per atom.

The structure belongs to space group P2/m (No. 10); the cell edges are 5.963, 3.442 and 6.012 Å and the angles 90.00°, 109.18° and 90.00°. The asymmetric unit holds Tb at (0.000, 0.000, 0.000), Tb at (0.000, 0.500, 0.500), Nd at (0.500, 0.000, 0.500), Hf at (0.500, 0.500, 0.000), N at (0.256, 0.500, 0.229) and N at (0.266, 0.000, 0.773).

=====

The E results, record by record, are as follows: -69.5, -69.8, -105.1, -70.1 eV/cell.